The following is a PBE calculation of a geometry-optimized PrY4Ho2 structure, from Alexandria.

Summary:
- offset from the most stable computed form (meV per atom) = 142
- size of the total moment (μB/atom) = 0.00
- VASP energy (eV per atom) = -5.5164
- ΔE_f (kcal/mol of atoms) = 3.9

```
PrY4Ho2
1.0
8.473 0.111 1.518
-0.417 9.359 -2.054
-2.868 -6.297 6.638
Ho Y Pr
4 8 2
direct
0.546 0.791 0.204 Ho
0.704 0.410 0.746 Ho
0.126 0.471 0.845 Ho
0.624 0.348 0.225 Ho
0.858 0.088 0.296 Y
0.285 0.098 0.296 Y
0.783 0.066 0.753 Y
0.965 0.759 0.313 Y
0.361 0.640 0.346 Y
0.467 0.720 0.782 Y
0.889 0.737 0.780 Y
0.393 0.188 0.731 Y
0.041 0.407 0.317 Pr
0.208 0.027 0.868 Pr
```